Record 1
! MgRe2Se PBEsol optimized geometry; values from VASP
&SYSTEM
  ibrav = 0, nat = 4, ntyp = 3
/
ATOMIC_SPECIES
Mg 24.30 Mg.upf
Re 186.21 Re.upf
Se 78.96 Se.upf
CELL_PARAMETERS angstrom
2.972 0.000 0.000
0.000 4.592 0.000
-1.486 -2.296 4.665
ATOMIC_POSITIONS angstrom
Mg 0.000 2.296 2.304
Re 0.000 0.000 0.235
Re 1.486 0.000 2.361
Se 0.000 0.000 4.431
! Distance to the lowest polymorph of the same formula, meV/atom: 0
! Space group: Imm2, No. 44
! D(E_F), states/eV per cell: 3.39
! Electronic total energy, eV/cell: -30.2
! Formation energy (no corrections), eV/f.u.: 2.01

---

Record 2
! TlB2Os PBEsol optimized geometry; values from VASP
&SYSTEM
  ibrav = 0, nat = 8, ntyp = 3
/
ATOMIC_SPECIES
Tl 204.38 Tl.upf
B 10.81 B.upf
Os 190.23 Os.upf
CELL_PARAMETERS angstrom
6.315 0.000 0.000
3.158 5.469 0.000
3.158 1.823 5.157
ATOMIC_POSITIONS angstrom
Tl 9.473 5.469 3.867
Tl 6.315 3.646 2.578
B 3.158 1.823 3.223
B 1.579 0.912 0.645
B 4.737 0.912 0.645
B 3.158 3.646 0.645
Os 3.158 1.823 1.289
Os 0.000 0.000 0.000
! Space group: Fd-3m, No. 227
! D(E_F), states/eV per cell: 2.50
! Electronic total energy, eV/cell: -51.0
! Energy relative to the elements, eV/atom: 0.85

---

Record 3
! LiTa2Ru PBEsol optimized geometry; values from VASP
&SYSTEM
  ibrav = 0, nat = 4, ntyp = 3
/
ATOMIC_SPECIES
Li 6.94 Li.upf
Ru 101.07 Ru.upf
Ta 180.95 Ta.upf
CELL_PARAMETERS angstrom
3.092 0.000 0.000
0.000 3.092 0.000
0.000 0.000 6.235
ATOMIC_POSITIONS angstrom
Li 1.546 1.546 0.000
Ru 1.546 1.546 3.118
Ta 0.000 0.000 4.723
Ta 0.000 0.000 1.513
! Space group: P4/mmm, No. 123
! D(E_F), states/eV per cell: 2.26
! Electronic total energy, eV/cell: -36.6
! Energy relative to the elements, eV/atom: 0.16

---

Record 4
! Sr10P6ClO24F PBEsol optimized geometry; values from VASP
&SYSTEM
  ibrav = 0, nat = 42, ntyp = 5
/
ATOMIC_SPECIES
Sr 87.62 Sr.upf
P 30.97 P.upf
Cl 35.45 Cl.upf
O 16.00 O.upf
F 19.00 F.upf
CELL_PARAMETERS angstrom
-0.109 -7.122 1.243
8.317 0.757 5.069
-8.596 0.926 4.550
ATOMIC_POSITIONS angstrom
Sr 2.625 -2.762 5.520
Sr -3.067 -6.194 5.956
Sr -3.011 -2.604 5.330
Sr 2.679 0.776 4.903
Sr -0.166 -4.069 8.042
Sr 2.023 -5.096 2.351
Sr 5.936 -4.331 7.078
Sr -0.175 -1.368 2.616
Sr -2.259 -0.284 8.644
Sr -6.521 -1.057 3.838
P -5.262 -4.733 3.990
P -0.469 -4.700 4.598
P -3.390 -3.995 8.381
P 4.812 -0.703 6.909
P 0.081 -0.755 6.195
P 3.063 -1.442 2.518
Cl -0.102 -6.616 1.155
O 2.541 -4.258 7.619
O 1.057 -4.711 4.893
O 4.192 -4.741 4.997
O -2.910 -1.216 3.249
O -1.454 -0.759 5.993
O -4.591 -0.734 5.857
O -5.903 -3.428 4.533
O -0.779 -3.695 3.458
O -2.385 -2.813 8.369
O 5.267 0.408 5.925
O 0.557 0.621 6.733
O 2.190 -0.176 2.309
O 5.281 -2.066 6.339
O 0.508 -1.840 7.217
O 2.112 -2.652 2.704
O -5.587 -5.881 4.973
O -1.005 -6.090 4.181
O -2.588 -5.314 8.489
O -3.711 -4.584 3.978
O -1.253 -4.289 5.881
O -4.149 -4.045 7.022
O 3.258 -0.715 6.936
O 0.836 -1.039 4.866
O 3.861 -1.265 3.840
F -0.038 -2.466 0.431
! Space group: P3, No. 143
! D(E_F), states/eV per cell: 0.00
! Electronic total energy, eV/cell: -308.4
! Formation energy (no corrections), eV/f.u.: -125.31

---

Record 5
! BeTe3O PBEsol optimized geometry; values from VASP
&SYSTEM
  ibrav = 0, nat = 5, ntyp = 3
/
ATOMIC_SPECIES
Be 9.01 Be.upf
Te 127.60 Te.upf
O 16.00 O.upf
CELL_PARAMETERS angstrom
4.737 0.000 0.000
0.000 4.737 0.000
0.000 0.000 4.737
ATOMIC_POSITIONS angstrom
Be 2.368 2.368 2.368
Te 0.000 2.368 0.000
Te 0.000 0.000 2.368
Te 2.368 0.000 0.000
O 0.000 0.000 0.000
! Space group: Pm-3m, No. 221
! D(E_F), states/eV per cell: 2.23
! Electronic total energy, eV/cell: -17.4
! Formation energy (no corrections), eV/f.u.: 2.45

---

Record 6
! Y2Fe17CN PBEsol optimized geometry; values from VASP
&SYSTEM
  ibrav = 0, nat = 21, ntyp = 4
/
ATOMIC_SPECIES
Y 88.91 Y.upf
Fe 55.84 Fe.upf
C 12.01 C.upf
N 14.01 N.upf
CELL_PARAMETERS angstrom
6.313 -0.014 0.010
0.776 6.288 0.007
0.732 0.634 6.310
ATOMIC_POSITIONS angstrom
Y 5.156 4.503 4.180
Y 2.665 2.405 2.147
Fe 3.092 5.568 2.153
Fe 5.887 2.371 2.163
Fe 3.080 2.700 5.402
Fe 4.729 1.340 4.174
Fe 1.934 4.537 4.164
Fe 4.741 4.208 0.925
Fe 7.065 6.245 5.724
Fe 0.756 0.663 0.603
Fe 0.388 3.144 0.004
Fe 3.157 -0.007 0.005
Fe 0.366 0.317 3.155
Fe 4.722 0.176 1.800
Fe 0.761 2.225 4.534
Fe 3.096 5.122 6.301
Fe 7.061 4.683 1.793
Fe 4.725 1.786 0.026
Fe 3.099 6.732 4.527
C 3.523 0.310 3.160
N 0.754 3.461 3.159
! Space group: P-1, No. 2
! D(E_F), states/eV per cell: 22.31
! Electronic total energy, eV/cell: -186.6
! Formation energy (no corrections), eV/f.u.: -2.43

---

Record 7
! BaCaSc2 PBEsol optimized geometry; values from VASP
&SYSTEM
  ibrav = 0, nat = 4, ntyp = 3
/
ATOMIC_SPECIES
Sc 44.96 Sc.upf
Ca 40.08 Ca.upf
Ba 137.33 Ba.upf
CELL_PARAMETERS angstrom
3.796 0.000 0.000
0.000 5.915 0.000
-1.898 -2.958 5.862
ATOMIC_POSITIONS angstrom
Sc 0.000 0.000 0.234
Sc 1.898 0.000 2.641
Ca 0.000 2.958 3.157
Ba 0.000 0.000 5.691
! Distance to the lowest polymorph of the same formula, meV/atom: 64
! Space group: Imm2, No. 44
! D(E_F), states/eV per cell: 6.08
! Electronic total energy, eV/cell: -16.2
! Energy relative to the elements, eV/atom: 0.31

---

Record 8
! KBaRh2 PBEsol optimized geometry; values from VASP
&SYSTEM
  ibrav = 0, nat = 4, ntyp = 3
/
ATOMIC_SPECIES
Ba 137.33 Ba.upf
K 39.10 K.upf
Rh 102.91 Rh.upf
CELL_PARAMETERS angstrom
3.237 0.000 0.000
0.000 3.766 0.000
0.000 0.000 9.407
ATOMIC_POSITIONS angstrom
Ba 0.000 0.000 3.726
K 1.619 1.883 7.892
Rh 0.000 0.000 0.900
Rh 1.619 1.883 1.593
! Distance to the lowest polymorph of the same formula, meV/atom: 125
! Space group: Pmm2, No. 25
! D(E_F), states/eV per cell: 4.68
! Electronic total energy, eV/cell: -18.2
! Energy relative to the elements, eV/atom: 0.34

---

Record 9
! Zr5Rh3 PBEsol optimized geometry; values from VASP
&SYSTEM
  ibrav = 0, nat = 16, ntyp = 2
/
ATOMIC_SPECIES
Rh 102.91 Rh.upf
Zr 91.22 Zr.upf
CELL_PARAMETERS angstrom
-4.219 3.095 1.523
-2.533 -5.809 4.791
5.029 5.504 2.745
ATOMIC_POSITIONS angstrom
Rh 0.936 2.953 1.467
Rh -0.126 5.646 2.800
Rh 0.453 0.589 4.933
Rh -4.694 -1.188 4.036
Rh -2.176 2.201 4.126
Rh -2.057 -1.526 2.277
Zr -1.955 3.645 1.802
Zr 2.765 4.954 2.466
Zr -1.268 2.090 6.866
Zr -2.978 -3.638 4.019
Zr -0.012 -2.038 4.109
Zr -2.122 -0.491 4.870
Zr 2.508 1.733 3.427
Zr 0.399 3.280 4.188
Zr -0.454 0.700 2.193
Zr -3.773 0.924 2.294
! Distance to the lowest polymorph of the same formula, meV/atom: 12
! Space group: P6_3/mcm, No. 193
! D(E_F), states/eV per cell: 13.56
! Electronic total energy, eV/cell: -149.3
! Energy relative to the elements, eV/atom: -0.60

---

Record 10
! Hg2BiPb2 PBEsol optimized geometry; values from VASP
&SYSTEM
  ibrav = 0, nat = 10, ntyp = 3
/
ATOMIC_SPECIES
Pb 207.20 Pb.upf
Bi 208.98 Bi.upf
Hg 200.59 Hg.upf
CELL_PARAMETERS angstrom
3.368 0.000 0.000
0.000 9.114 0.000
0.000 0.000 9.114
ATOMIC_POSITIONS angstrom
Pb 0.000 2.901 7.458
Pb 0.000 7.458 6.213
Pb 0.000 6.213 1.656
Pb 0.000 1.656 2.901
Bi 0.000 0.000 0.000
Bi 0.000 4.557 4.557
Hg 1.684 1.077 5.634
Hg 1.684 5.634 8.038
Hg 1.684 8.038 3.481
Hg 1.684 3.481 1.077
! Distance to the lowest polymorph of the same formula, meV/atom: 20
! Space group: P4/mbm, No. 127
! D(E_F), states/eV per cell: 4.59
! Electronic total energy, eV/cell: -26.2
! Energy relative to the elements, eV/atom: 0.06

---

Record 11
! Cs3Y2Cl9 PBEsol optimized geometry; values from VASP
&SYSTEM
  ibrav = 0, nat = 28, ntyp = 3
/
ATOMIC_SPECIES
Cs 132.91 Cs.upf
Y 88.91 Y.upf
Cl 35.45 Cl.upf
CELL_PARAMETERS angstrom
9.607 -0.042 -0.039
0.953 9.560 -0.039
0.953 0.859 9.521
ATOMIC_POSITIONS angstrom
Cs 1.955 7.520 3.888
Cs 4.755 1.470 7.122
Cs 7.682 3.980 0.795
Cs 6.758 8.906 2.322
Cs 3.831 6.396 8.649
Cs 9.558 2.856 5.556
Y 9.810 8.842 8.048
Y 4.054 3.654 3.326
Y 1.702 1.534 1.396
Y 7.459 6.722 6.118
Cl 1.547 4.071 2.361
Cl 2.878 1.256 3.831
Cl 4.209 2.455 0.891
Cl 7.304 7.921 8.553
Cl 9.965 6.305 7.083
Cl 8.634 9.120 5.613
Cl 3.209 4.515 5.555
Cl 6.254 2.575 3.973
Cl 4.823 5.786 2.191
Cl 8.012 1.582 8.734
Cl 9.626 7.053 0.756
Cl 2.404 9.428 6.951
Cl 8.304 5.861 3.889
Cl 5.258 7.801 5.471
Cl 6.690 4.590 7.253
Cl 3.500 8.794 0.710
Cl 1.886 3.323 8.688
Cl 9.109 0.948 2.493
! Space group: R-3c, No. 167
! D(E_F), states/eV per cell: 0.00
! Electronic total energy, eV/cell: -131.2
! Formation energy (no corrections), eV/f.u.: -31.07

---

Record 12
! Ta2BeAl PBEsol optimized geometry; values from VASP
&SYSTEM
  ibrav = 0, nat = 4, ntyp = 3
/
ATOMIC_SPECIES
Be 9.01 Be.upf
Al 26.98 Al.upf
Ta 180.95 Ta.upf
CELL_PARAMETERS angstrom
-2.508 1.624 1.364
0.188 -2.163 2.921
4.416 2.304 1.422
ATOMIC_POSITIONS angstrom
Be -0.831 0.054 2.361
Al -0.050 1.998 1.483
Ta 1.698 3.720 2.646
Ta 1.952 0.749 2.696
! Distance to the lowest polymorph of the same formula, meV/atom: 0
! Space group: Amm2, No. 38
! D(E_F), states/eV per cell: 1.90
! Electronic total energy, eV/cell: -33.8
! Energy relative to the elements, eV/atom: -0.15